Record 1
Computed, not measured: an optimized crystal structure of GeIrN at the PBE-GGA level of DFT.

The structure belongs to space group Cm (No. 8); the cell edges are 7.3844, 2.8346 and 4.9403 Å and the angles 90.00°, 115.04° and 90.00°. The asymmetric unit holds Ge at (0.0000, 0.0000, 0.0000), Ir at (0.1377, 0.5000, 0.7043) and N at (0.1158, 0.0000, 0.4124).

The distance to the lowest polymorph of the same formula comes out at 6.2 kJ per mole of atoms. The formation energy from raw total energies comes out at 1.0 eV/f.u. As for the total magnetic moment: 0.00 μB per cell. The density of states at the Fermi level is 0.14 states/eV/f.u.

=====

Record 2
Computed, not measured: an optimized crystal structure of KRuRhCl6 at the PBE-GGA level of DFT.

The structure belongs to space group P312 (No. 149); the cell edges are 6.2613, 6.2613 and 7.0444 Å and the angles 90.00°, 90.00° and 120.00°. The asymmetric unit holds K at (0.0000, 0.0000, 0.0000), Ru at (0.6667, 0.3333, 0.5000), Rh at (0.3333, 0.6667, 0.5000) and Cl at (0.3611, 0.0007, 0.3144).

The formation energy from raw total energies comes out at -7.4 eV/f.u. As for the total magnetic moment: 0.17 μB per cell.

=====

Record 3
Computed, not measured: an optimized crystal structure of K2CdTe at the PBE-GGA level of DFT.

The structure belongs to space group Imm2 (No. 44); the cell edges are 4.4987, 5.5234 and 12.3957 Å and the angles 90.00°, 90.00° and 90.00°. The asymmetric unit holds K at (0.0000, 0.0000, 0.0000), K at (0.0000, 0.5000, 0.1996), Cd at (0.0000, 0.0000, 0.4217) and Te at (0.0000, 0.5000, 0.7434).

The distance to the lowest polymorph of the same formula comes out at 6.8 kJ per mole of atoms. The formation energy from raw total energies comes out at -2.2 eV/f.u. As for the total magnetic moment: 0.00 μB per cell.

=====

Record 4
Computed, not measured: an optimized crystal structure of ErBPd5 at the PBE-GGA level of DFT.

The structure belongs to space group P4/mmm (No. 123); the cell edges are 3.9115, 3.9115 and 7.0214 Å and the angles 90.00°, 90.00° and 90.00°. The asymmetric unit holds Er at (0.0000, 0.0000, 0.0000), B at (0.5000, 0.5000, 0.5000), Pd at (0.0000, 0.5000, 0.3110) and Pd at (0.5000, 0.5000, 0.0000).

As for the total magnetic moment: 0.00 μB per cell. The value obtained for the formation energy is -531 meV per atom. The density of states at the Fermi level is 4.66 states/eV/f.u.